A relaxed La5Cd4Hg crystal. Source: Alexandria via LeMat-Bulk, functional PBE.

Results
ρ = 7.348 g/cm³
space group = P4/mmm
energy = -3.2233 eV/atom
ΔH_f (0 K) = -363 meV/atom

Cell and atoms, written as extended XYZ:
```
10
Lattice="-2.9579 -1.5503 2.0928 -1.6386 -1.3537 -3.3188 10.0497 -16.6850 1.8435" Properties=species:S:1:pos:R:3 pbc="T T T"
La -1.3090 -3.0944 -0.4316
La 0.7062 -6.4403 -0.0619
La 2.7266 -9.7945 0.3087
La 4.7469 -13.1488 0.6793
La 6.7622 -16.4946 1.0490
Cd 2.0085 -3.3346 0.3684
Cd 4.0153 -6.6665 0.7366
Cd 6.0343 -10.0186 1.1069
Cd 8.0412 -13.3504 1.4751
Hg 0.0000 0.0000 0.0000
```



A relaxed LaCdHg3 crystal. Source: Alexandria via LeMat-Bulk, functional PBE.

Results
ρ = 9.320 g/cm³
space group = Pm-3m
energy = -1.2772 eV/atom
ΔH_f (0 K) = 72 meV/atom

Cell and atoms, written as extended XYZ:
```
5
Lattice="5.3368 0.0000 0.0000 0.0000 5.3368 0.0000 0.0000 0.0000 5.3368" Properties=species:S:1:pos:R:3 pbc="T T T"
Cd 0.0000 0.0000 0.0000
Hg 0.0000 2.6684 0.0000
Hg 0.0000 0.0000 2.6684
Hg 2.6684 0.0000 0.0000
La 2.6684 2.6684 2.6684
```